Entry from the Alexandria database: a relaxed structure of LaHf2CrPd (PBE-GGA).

- DOS(E_F) (states/eV per atom) = 1.62
- formation energy (eV per atom) = 0.499
- total DFT energy (no corrections) (eV/cell) = -37.16

a b c (Å): 4.8139 4.8139 5.1264
angles (deg): 90.00 90.00 90.00
Last column: nearest neighbours and their distance in Å.
Element x y z (fractional)
La (0.0000, 0.0000, 0.0000)  2 Cr 2.56
Hf (0.0000, 0.5000, 0.5000)  2 Cr 2.41
Hf (0.5000, 0.0000, 0.5000)  2 Cr 2.41
Cr (0.0000, 0.0000, 0.5000)  4 Hf 2.41, 2 La 2.56
Pd (0.5000, 0.5000, 0.0000)  4 La 3.40, 8 Hf 3.52